The following is a DFT calculation (GGA-PBE) of a relaxed structure of AcCePtO6.

## Properties
formation energy from raw total energies	-2.201	eV per atom
crystal system	trigonal

Unit cell a=5.6055 b=5.6055 c=10.6448 alpha=90.00 beta=90.00 gamma=120.00
Space group P-31c (No. 163)
Unique sites:
Ac 0.0000 0.0000 0.0000 (multiplicity 2)
Ce 0.3333 0.6667 0.2500 (multiplicity 2)
Pt 0.3333 0.6667 0.7500 (multiplicity 2)
O 0.0326 0.3761 0.6423 (multiplicity 12)